Record 1
# Dy2Y2Er15 (GGA-PBE, optimized geometry)
data_Dy2Y2Er15
_cell_length_a 8.6590
_cell_length_b 8.6590
_cell_length_c 8.6590
_cell_angle_alpha 79.60
_cell_angle_beta 79.60
_cell_angle_gamma 79.60
_space_group_name_H-M_alt 'P 1'
_space_group_IT_number 1
loop_
_space_group_symop_operation_xyz
'x,y,z'
loop_
_atom_site_label
_atom_site_fract_x
_atom_site_fract_y
_atom_site_fract_z
Dy1 0.1770 0.1770 0.1770
Dy2 0.8230 0.8230 0.8230
Y1 0.4008 0.4008 0.4008
Y2 0.5992 0.5992 0.5992
Er1 0.0000 0.5000 0.5000
Er2 0.1311 0.1311 0.6484
Er3 0.1311 0.6484 0.1311
Er4 0.1995 0.5000 0.8005
Er5 0.1995 0.8005 0.5000
Er6 0.3516 0.8689 0.8689
Er7 0.5000 0.0000 0.5000
Er8 0.5000 0.1995 0.8005
Er9 0.5000 0.5000 0.0000
Er10 0.5000 0.8005 0.1995
Er11 0.6484 0.1311 0.1311
Er12 0.8005 0.1995 0.5000
Er13 0.8005 0.5000 0.1995
Er14 0.8689 0.3516 0.8689
Er15 0.8689 0.8689 0.3516
# calculated formation energy = 0.29 eV/atom

Record 2
# Y5As4Cl (GGA-PBE, optimized geometry)
data_Y5As4Cl
_cell_length_a 10.8854
_cell_length_b 10.8854
_cell_length_c 10.8854
_cell_angle_alpha 158.14
_cell_angle_beta 149.20
_cell_angle_gamma 38.08
_space_group_name_H-M_alt 'P 1'
_space_group_IT_number 1
loop_
_space_group_symop_operation_xyz
'x,y,z'
loop_
_atom_site_label
_atom_site_fract_x
_atom_site_fract_y
_atom_site_fract_z
Y1 0.0000 0.0000 0.0000
Y2 0.1991 0.1991 0.0000
Y3 0.3902 0.3902 0.0000
Y4 0.6098 0.6098 0.0000
Y5 0.8009 0.8009 0.0000
As1 0.0974 0.5974 0.5000
As2 0.2989 0.7989 0.5000
As3 0.7011 0.2011 0.5000
As4 0.9026 0.4026 0.5000
Cl1 0.5000 0.0000 0.5000
# ΔE_f (raw) = -1549.9 meV per atom

Record 3
# HgPtAu2 (GGA-PBE, optimized geometry)
data_HgPtAu2
_cell_length_a 9.6113
_cell_length_b 3.0335
_cell_length_c 5.1031
_cell_angle_alpha 90.00
_cell_angle_beta 101.21
_cell_angle_gamma 90.00
_space_group_name_H-M_alt 'P 1'
_space_group_IT_number 1
loop_
_space_group_symop_operation_xyz
'x,y,z'
loop_
_atom_site_label
_atom_site_fract_x
_atom_site_fract_y
_atom_site_fract_z
Hg1 0.0000 0.0000 0.0000
Hg2 0.5000 0.5000 0.0000
Pt1 0.2521 0.0000 0.7646
Pt2 0.7521 0.5000 0.7646
Au1 0.0092 0.5000 0.5094
Au2 0.2577 0.5000 0.2723
Au3 0.5092 0.0000 0.5094
Au4 0.7577 0.0000 0.2723
# calculated formation energy = 0.06 eV/atom

Record 4
# Pm8Er5Sc (GGA-PBE, optimized geometry)
data_Pm8Er5Sc
_cell_length_a 8.4832
_cell_length_b 8.4832
_cell_length_c 8.4832
_cell_angle_alpha 110.96
_cell_angle_beta 110.96
_cell_angle_gamma 106.53
_space_group_name_H-M_alt 'P 1'
_space_group_IT_number 1
loop_
_space_group_symop_operation_xyz
'x,y,z'
loop_
_atom_site_label
_atom_site_fract_x
_atom_site_fract_y
_atom_site_fract_z
Pm1 0.0833 0.6798 0.7713
Pm2 0.1699 0.2745 0.7610
Pm3 0.3202 0.0915 0.4036
Pm4 0.5135 0.4090 0.2390
Pm5 0.5910 0.8301 0.1046
Pm6 0.6879 0.9167 0.5964
Pm7 0.7255 0.4865 0.8954
Pm8 0.9085 0.3121 0.2287
Er1 0.2203 0.6214 0.1906
Er2 0.3786 0.5691 0.5988
Er3 0.4309 0.0297 0.8094
Er4 0.7500 0.2500 0.5000
Er5 0.9703 0.7797 0.4012
Sc1 0.0000 0.0000 0.0000
# calculated formation energy = 0.26 eV/atom

Record 5
# La2Sm3ThS6 (GGA-PBE, optimized geometry)
data_La2Sm3ThS6
_cell_length_a 9.0937
_cell_length_b 9.0937
_cell_length_c 8.1443
_cell_angle_alpha 103.40
_cell_angle_beta 103.40
_cell_angle_gamma 25.75
_space_group_name_H-M_alt 'P 1'
_space_group_IT_number 1
loop_
_space_group_symop_operation_xyz
'x,y,z'
loop_
_atom_site_label
_atom_site_fract_x
_atom_site_fract_y
_atom_site_fract_z
La1 0.1647 0.1647 0.3306
La2 0.8353 0.8353 0.6694
Sm1 0.1668 0.1668 0.8350
Sm2 0.5000 0.5000 0.5000
Sm3 0.8332 0.8332 0.1650
Th1 0.5000 0.5000 0.0000
S1 0.0035 0.0035 0.7489
S2 0.3325 0.3325 0.9237
S3 0.3347 0.3347 0.4106
S4 0.6653 0.6653 0.5894
S5 0.6675 0.6675 0.0763
S6 0.9965 0.9965 0.2511
# ΔE_f (raw) = -2034.0 meV per atom

Record 6
# NaAcCdIn (GGA-PBE, optimized geometry)
data_NaAcCdIn
_cell_length_a 7.8843
_cell_length_b 7.8843
_cell_length_c 7.8843
_cell_angle_alpha 90.00
_cell_angle_beta 90.00
_cell_angle_gamma 90.00
_space_group_name_H-M_alt 'P 1'
_space_group_IT_number 1
loop_
_space_group_symop_operation_xyz
'x,y,z'
loop_
_atom_site_label
_atom_site_fract_x
_atom_site_fract_y
_atom_site_fract_z
Na1 0.0000 0.0000 0.0000
Na2 0.0000 0.5000 0.5000
Na3 0.5000 0.0000 0.5000
Na4 0.5000 0.5000 0.0000
Ac1 0.0000 0.0000 0.5000
Ac2 0.0000 0.5000 0.0000
Ac3 0.5000 0.0000 0.0000
Ac4 0.5000 0.5000 0.5000
Cd1 0.2500 0.2500 0.7500
Cd2 0.2500 0.7500 0.2500
Cd3 0.7500 0.2500 0.2500
Cd4 0.7500 0.7500 0.7500
In1 0.2500 0.2500 0.2500
In2 0.2500 0.7500 0.7500
In3 0.7500 0.2500 0.7500
In4 0.7500 0.7500 0.2500
# calculated formation energy = -0.24 eV/atom

Record 7
# NaSBr2 (GGA-PBE, optimized geometry)
data_NaSBr2
_cell_length_a 5.5477
_cell_length_b 5.5477
_cell_length_c 16.6836
_cell_angle_alpha 90.00
_cell_angle_beta 90.00
_cell_angle_gamma 90.00
_space_group_name_H-M_alt 'P 1'
_space_group_IT_number 1
loop_
_space_group_symop_operation_xyz
'x,y,z'
loop_
_atom_site_label
_atom_site_fract_x
_atom_site_fract_y
_atom_site_fract_z
Na1 0.0000 0.0000 0.0000
Na2 0.0000 0.5000 0.2500
Na3 0.5000 0.0000 0.7500
Na4 0.5000 0.5000 0.5000
S1 0.0000 0.0000 0.5000
S2 0.0000 0.5000 0.7500
S3 0.5000 0.0000 0.2500
S4 0.5000 0.5000 0.0000
Br1 0.1901 0.2500 0.6250
Br2 0.2500 0.6901 0.8750
Br3 0.2500 0.8099 0.3750
Br4 0.3099 0.2500 0.1250
Br5 0.6901 0.7500 0.1250
Br6 0.7500 0.1901 0.3750
Br7 0.7500 0.3099 0.8750
Br8 0.8099 0.7500 0.6250
# ΔE to the lowest computed polymorph = 0.146 eV/atom
# ΔE_f (raw) = -258.4 meV per atom

Record 8
# Dy3Si2Ge (GGA-PBE, optimized geometry)
data_Dy3Si2Ge
_cell_length_a 11.5010
_cell_length_b 4.0892
_cell_length_c 11.5024
_cell_angle_alpha 90.00
_cell_angle_beta 90.00
_cell_angle_gamma 90.00
_space_group_name_H-M_alt 'P 1'
_space_group_IT_number 1
loop_
_space_group_symop_operation_xyz
'x,y,z'
loop_
_atom_site_label
_atom_site_fract_x
_atom_site_fract_y
_atom_site_fract_z
Dy1 0.0563 0.2500 0.1213
Dy2 0.1200 0.7500 0.5597
Dy3 0.2039 0.2500 0.7991
Dy4 0.2961 0.7500 0.2991
Dy5 0.3800 0.2500 0.0597
Dy6 0.4437 0.7500 0.6213
Dy7 0.5563 0.2500 0.3787
Dy8 0.6200 0.7500 0.9403
Dy9 0.7039 0.2500 0.7009
Dy10 0.7961 0.7500 0.2009
Dy11 0.8800 0.2500 0.4403
Dy12 0.9437 0.7500 0.8787
Si1 0.0172 0.7500 0.3083
Si2 0.1879 0.7500 0.9994
Si3 0.3121 0.2500 0.4994
Si4 0.4828 0.2500 0.8083
Si5 0.5172 0.7500 0.1917
Si6 0.6879 0.7500 0.5006
Si7 0.8121 0.2500 0.0006
Si8 0.9828 0.2500 0.6917
Ge1 0.1319 0.2500 0.3708
Ge2 0.3681 0.7500 0.8708
Ge3 0.6319 0.2500 0.1292
Ge4 0.8681 0.7500 0.6292
# ΔE_f (raw) = -681.0 meV per atom

| no. | uncorrected energy (eV per atom) | density of states at the Fermi level (states/eV/f.u.) |
| --- | --- | --- |
| 1 | -4.477 | 34.6 |
| 2 | -6.826 | 3.1 |
| 3 | -3.161 | 1.3 |
| 4 | -4.532 | 21.2 |
| 5 | -6.717 | 6.5 |
| 6 | -2.514 | 2.7 |
| 7 | -2.456 | 1.3 |
| 8 | -5.559 | 4.1 |